The following is a DFT calculation (PBEsol) of a relaxed structure of MgCuAg.

Cell lengths 2.8945, 2.8945, 6.4969 Å; angles 90.00, 90.00, 120.00 degrees
With the nearest neighbours (Å) after each atom.
Sites, in units of the cell vectors:
Mg  0.0000  0.0000  0.0000  3 Cu 2.67, 3 Ag 2.86, 6 Mg 2.89
Cu  0.6667  0.3333  0.3207  3 Mg 2.67, 3 Ag 2.68, 6 Cu 2.89
Ag  0.3333  0.6667  0.6435  3 Cu 2.68, 3 Mg 2.86, 6 Ag 2.89

Results
VASP energy (Ry/atom): -0.225
Size of the total moment (μB per formula unit): 0.00
Excess energy over the best structure of this formula in the dataset (eV per formula unit): 0.41
ΔE_f (eV/atom): 0.06
Density of states at the Fermi level (states/eV per cell): 0.6
Symmetry: P3m1